one:
VASP calculation (PBE) on a relaxed structure of La2P2S.

abc: 8.406 8.406 8.406
angles: 153.96 153.96 37.15
Element x y z (fractional)
La1 0.110 0.110 0.000
La2 0.890 0.890 0.000
P1 0.250 0.750 0.500
P2 0.750 0.250 0.500
S1 0.500 0.500 0.000

Density of states at the Fermi level: 0.55 states/eV/atom
Magnetic moment: 0.000 μB/atom

two:
VASP calculation (PBE) on a relaxed structure of La2P2S.

abc: 7.803 7.803 4.151
angles: 90.00 90.00 90.00
Element x y z (fractional)
La1 0.186 0.314 0.000
La2 0.314 0.814 0.000
La3 0.686 0.186 0.000
La4 0.814 0.686 0.000
P1 0.100 0.600 0.500
P2 0.400 0.100 0.500
P3 0.600 0.900 0.500
P4 0.900 0.400 0.500
S1 0.000 0.000 0.000
S2 0.500 0.500 0.000

Density of states at the Fermi level: 0.28 states/eV/atom
Magnetic moment: 0.000 μB/atom

If we sort the structures by their calculated energies, the order from most to least stable is two, one.